A plane-wave DFT calculation with PBE was carried out for a relaxed structure of Ho3TmPd3.

The calculation puts the calculated total energy at -5.5506 eV/atom. The value obtained for the formation energy is -724.4 meV/atom. Its offset from the most stable computed form is 0 meV per atom. The magnetic moment comes out at 0.0 μB/f.u.

Geometry as CIF:
```
data_Ho3TmPd3
_chemical_formula_sum 'Ho9 Tm3 Pd9'
_symmetry_space_group_name_H-M 'R -3 m'
_symmetry_Int_Tables_number 166
_symmetry_space_group_name_Hall '-R 3 2"'
_cell_length_a 9.7855
_cell_length_b 9.7855
_cell_length_c 6.0102
_cell_angle_alpha 90.00
_cell_angle_beta 90.00
_cell_angle_gamma 120.00
loop_
_atom_site_label
_atom_site_type_symbol
_atom_site_fract_x
_atom_site_fract_y
_atom_site_fract_z
Ho1 Ho 0.0000 0.5000 0.0000
Tm1 Tm 0.0000 0.0000 0.0000
Pd1 Pd 0.0000 0.5000 0.5000
```